First-principles (PBE) data for a relaxed SrLi2RuO4 crystal, as listed in Alexandria.

Computed properties:
electronic total energy: -47.9 eV per cell
formation energy without anion corrections: -160 kJ/mol of atoms
magnetization: 0.00 μB/cell
mass density: 4.39 g cm⁻³

Geometry as POSCAR:
```
SrLi2RuO4
1.0
-2.729 2.729 3.383
2.729 -2.729 3.383
2.729 2.729 -3.383
Sr Li Ru O
1 2 1 4
direct
0.000 0.000 0.000
0.250 0.750 0.500
0.750 0.250 0.500
0.500 0.500 0.000
0.134 0.544 0.000
0.456 0.456 0.590
0.544 0.134 0.000
0.866 0.866 0.410
```